DFT (GGA+U) results for crystalline MnOs2F at its relaxed geometry. Values from VASP.

Computed properties:
Space group: I-42d
Crystal system: tetragonal
Total moment in μB per atom: 1.0137
ΔE to the lowest computed polymorph in eV per atom: 0.000

Cell and atoms, written as Quantum ESPRESSO input:
```
&SYSTEM
  ibrav = 0, nat = 8, ntyp = 3
/
ATOMIC_SPECIES
Mn 54.94 Mn.upf
Os 190.23 Os.upf
F 19.00 F.upf
CELL_PARAMETERS angstrom
7.657 0.000 0.000
0.000 7.657 0.000
3.829 3.829 2.168
ATOMIC_POSITIONS angstrom
Mn 0.000 0.000 0.000
Mn 7.657 3.829 1.084
Os 2.422 5.743 0.542
Os 9.572 9.064 1.626
Os 5.743 6.251 1.626
Os 5.235 1.914 0.542
F 3.829 3.829 0.000
F 3.829 7.657 1.084
```